## GaCuW2O8 (PBE with a Hubbard U)

Data for a geometry-optimized GaCuW2O8 structure.

Values from the calculation:
- Raw total energy: -163.2 eV for the cell shown

a b c (Å): 7.4134 7.4134 5.0315
angles (deg): 89.18 89.18 101.93
Element x y z (fractional)
O: 0.8151 0.4271 0.8908
O: 0.0748 0.1957 0.9210
Cu: 0.6647 0.3353 0.2500
O: 0.3063 0.4056 0.5598
O: 0.2979 0.9352 0.9186
W: 0.1633 0.3365 0.2452
W: 0.6635 0.8367 0.2548
O: 0.1849 0.5729 0.1092
W: 0.3365 0.1633 0.7452
O: 0.5729 0.1849 0.6092
Ga: 0.8297 0.1703 0.7500
Cu: 0.3353 0.6647 0.7500
O: 0.5944 0.6937 0.9402
O: 0.7021 0.0648 0.0814
O: 0.8043 0.9252 0.5790
O: 0.9352 0.2979 0.4186
Ga: 0.1703 0.8297 0.2500
W: 0.8367 0.6635 0.7548
O: 0.9252 0.8043 0.0790
O: 0.0648 0.7021 0.5814
O: 0.1957 0.0748 0.4210
O: 0.6937 0.5944 0.4402
O: 0.4271 0.8151 0.3908
O: 0.4056 0.3063 0.0598